# 1
First-principles (GGA-PBE) data for a relaxed structure of Sm5TmSn5, as listed in Alexandria.

The calculation puts the formation energy at -5.12 eV/f.u.

Cell lengths 15.916, 6.243, 7.354 Å; angles 90.00, 104.70, 90.00 degrees
Space group C2/m (No. 12)
Unique sites:
Sm 0.000 0.000 0.000
Sm 0.159 0.500 0.312
Sm 0.173 0.500 0.816
Tm 0.000 0.000 0.500
Sn 0.000 0.500 0.500
Sn 0.164 0.000 0.836
Sn 0.165 0.000 0.362

=====

# 2
First-principles (GGA-PBE) data for a relaxed structure of Sm4Tm5Sn2, as listed in Alexandria.

The calculation puts the formation energy at 1.08 eV/f.u.

Cell lengths 5.1969, 5.1969, 46.8049 Å; angles 90.00, 90.00, 120.00 degrees
Space group R-3m (No. 166, hexagonal axes)
Unique sites:
Sm 0.0000 0.0000 0.0714
Sm 0.0000 0.0000 0.2251
Tm 0.0000 0.0000 0.0000
Tm 0.0000 0.0000 0.1479
Tm 0.0000 0.0000 0.3033
Sn 0.0000 0.0000 0.3747

=====

# 3
First-principles (GGA-PBE) data for a relaxed structure of SmTm4Sn2, as listed in Alexandria.

The calculation puts the formation energy at -2.49 eV/f.u.

Cell lengths 9.695, 9.695, 4.466 Å; angles 90.00, 90.00, 90.00 degrees
Space group P4_2/mnm (No. 136)
Unique sites:
Sm 0.000 0.000 0.000
Tm 0.099 0.345 0.500
Sn 0.175 0.825 0.500

=====

# 4
First-principles (GGA-PBE) data for a relaxed structure of Sm3Tm5Sn2, as listed in Alexandria.

The calculation puts the formation energy at -2.80 eV/f.u.

Cell lengths 12.183, 15.294, 6.485 Å; angles 90.00, 98.23, 90.00 degrees
Space group C2/c (No. 15)
Unique sites:
Sm 0.000 0.022 0.250
Sm 0.117 0.229 0.083
Tm 0.000 0.472 0.250
Tm 0.125 0.341 0.608
Tm 0.232 0.455 0.032
Sn 0.145 0.144 0.586